This record from Alexandria describes an optimized crystal structure of NaOs2Rh2. The functional is GGA-PBE.

Computed properties:
**Space-group type**: P4/mbm, No. 127
**Calculated formation energy**: 145 kJ/mol of formula units

CIF file:
```
data_NaOs2Rh2
_cell_length_a 7.745
_cell_length_b 7.745
_cell_length_c 2.686
_cell_angle_alpha 90.00
_cell_angle_beta 90.00
_cell_angle_gamma 90.00
_space_group_name_H-M_alt 'P 1'
_space_group_IT_number 1
loop_
_space_group_symop_operation_xyz
'x,y,z'
loop_
_atom_site_label
_atom_site_type_symbol
_atom_site_fract_x
_atom_site_fract_y
_atom_site_fract_z
_atom_site_occupancy
Na1 Na 0.000 0.000 0.000 1
Na2 Na 0.500 0.500 0.000 1
Os1 Os 0.118 0.382 0.000 1
Os2 Os 0.382 0.882 0.000 1
Os3 Os 0.618 0.118 0.000 1
Os4 Os 0.882 0.618 0.000 1
Rh1 Rh 0.175 0.675 0.500 1
Rh2 Rh 0.325 0.175 0.500 1
Rh3 Rh 0.675 0.825 0.500 1
Rh4 Rh 0.825 0.325 0.500 1
```